No. 1
Density functional theory data (PBE) for crystalline YZrSb at its relaxed geometry.

Unit cell a=8.8628 b=8.8628 c=8.8628 alpha=152.07 beta=152.07 gamma=39.92
Element x y z (fractional)
1 Y 0.1767 0.1767 0.0000
2 Y 0.8233 0.8233 0.0000
3 Zr 0.0000 0.5000 0.5000
4 Zr 0.5000 0.0000 0.5000
5 Sb 0.3668 0.3668 0.0000
6 Sb 0.6332 0.6332 0.0000

Computed properties:
The value obtained for the calculated volume is 25.41 Å³/atom. As for the total energy: -7.20 eV per atom.

No. 2
Density functional theory data (PBE) for crystalline YZr2Sb at its relaxed geometry.

Unit cell a=10.1504 b=10.1504 c=10.1504 alpha=19.56 beta=19.56 gamma=19.56
Element x y z (fractional)
1 Y 0.0000 0.0000 0.0000
2 Zr 0.5053 0.5053 0.5053
3 Zr 0.7571 0.7571 0.7571
4 Sb 0.2483 0.2483 0.2483

Computed properties:
The value obtained for the calculated volume is 25.64 Å³/atom. As for the total energy: -7.09 eV per atom.

No. 3
Density functional theory data (PBE) for crystalline YZrSb4 at its relaxed geometry.

Unit cell a=6.1625 b=6.1625 c=6.1625 alpha=60.00 beta=60.00 gamma=60.00
Element x y z (fractional)
1 Y 0.0000 0.0000 0.0000
2 Zr 0.7500 0.7500 0.7500
3 Sb 0.3754 0.3754 0.3754
4 Sb 0.3754 0.3754 0.8736
5 Sb 0.3754 0.8736 0.3754
6 Sb 0.8736 0.3754 0.3754

Computed properties:
The value obtained for the calculated volume is 27.58 Å³/atom. As for the total energy: -5.11 eV per atom.

No. 4
Density functional theory data (PBE) for crystalline YZrSb2 at its relaxed geometry.

Unit cell a=5.2089 b=5.2089 c=3.6899 alpha=90.00 beta=90.00 gamma=90.00
Element x y z (fractional)
1 Y 0.0000 0.0000 0.0000
2 Zr 0.5000 0.5000 0.0000
3 Sb 0.0000 0.5000 0.5000
4 Sb 0.5000 0.0000 0.5000

Computed properties:
The value obtained for the calculated volume is 25.03 Å³/atom. As for the total energy: -6.40 eV per atom.

| no. | N(E_F) (states/eV/f.u.) |
| --- | --- |
| 1 | 3.355 |
| 2 | 5.254 |
| 3 | 7.195 |
| 4 | 4.250 |